Record 1
# MgAlPd2 GGA-PBE optimized geometry
# ρ: 7.27 Mg/m³
# total DFT energy (no corrections): -113.95 eV/cell
data_MgAlPd2
_chemical_formula_sum 'Mg6 Al6 Pd12'
_space_group_name_H-M_alt 'P 1'
_space_group_IT_number 1
_space_group_name_Hall 'P 1'
_cell_length_a 4.4021
_cell_length_b 6.2276
_cell_length_c 13.1958
_cell_angle_alpha 90.00
_cell_angle_beta 90.00
_cell_angle_gamma 90.00
loop_
_atom_site_label
_atom_site_type_symbol
_atom_site_fract_x
_atom_site_fract_y
_atom_site_fract_z
Mg1 Mg 0.5000 0.0000 0.8333
Mg2 Mg 0.0000 0.5000 0.6667
Mg3 Mg 0.5000 0.0000 0.1667
Mg4 Mg 0.0000 0.5000 0.0000
Mg5 Mg 0.0000 0.5000 0.3333
Mg6 Mg 0.5000 0.0000 0.5000
Pd1 Pd 0.0000 0.7502 0.8333
Pd2 Pd 0.0000 0.2498 0.1667
Pd3 Pd 0.0000 0.7502 0.1667
Pd4 Pd 0.0000 0.2499 0.5000
Pd5 Pd 0.4999 0.7498 0.6667
Pd6 Pd 0.5001 0.7498 0.3333
Pd7 Pd 0.0000 0.2498 0.8333
Pd8 Pd 0.5000 0.2501 0.0000
Pd9 Pd 0.4999 0.2502 0.6667
Pd10 Pd 0.5001 0.2502 0.3333
Pd11 Pd 0.0000 0.7501 0.5000
Pd12 Pd 0.5000 0.7499 0.0000
Al1 Al 0.0000 0.0000 0.3333
Al2 Al 0.5000 0.5000 0.5000
Al3 Al 0.0000 0.0000 0.0000
Al4 Al 0.0000 0.0000 0.6667
Al5 Al 0.5000 0.5000 0.8333
Al6 Al 0.5000 0.5000 0.1667



Record 2
# MgAlPd2 GGA-PBE optimized geometry
# ρ: 6.58 Mg/m³
# total DFT energy (no corrections): -34.73 eV/cell
data_MgAlPd2
_chemical_formula_sum 'Mg2 Al2 Pd4'
_space_group_name_H-M_alt 'P 1'
_space_group_IT_number 1
_space_group_name_Hall 'P 1'
_cell_length_a 4.5143
_cell_length_b 4.5143
_cell_length_c 7.5576
_cell_angle_alpha 90.00
_cell_angle_beta 90.00
_cell_angle_gamma 120.00
loop_
_atom_site_label
_atom_site_type_symbol
_atom_site_fract_x
_atom_site_fract_y
_atom_site_fract_z
Pd1 Pd 0.6667 0.3333 0.9236
Pd2 Pd 0.3333 0.6667 0.4236
Pd3 Pd 0.6667 0.3333 0.5764
Pd4 Pd 0.3333 0.6667 0.0764
Mg1 Mg 0.0000 0.0000 0.7500
Mg2 Mg 0.0000 0.0000 0.2500
Al1 Al 0.6667 0.3333 0.2500
Al2 Al 0.3333 0.6667 0.7500



Record 3
# MgAlPd2 GGA-PBE optimized geometry
# ρ: 6.57 Mg/m³
# total DFT energy (no corrections): -37.08 eV/cell
data_MgAlPd2
_chemical_formula_sum 'Mg2 Al2 Pd4'
_space_group_name_H-M_alt 'P 1'
_space_group_IT_number 1
_space_group_name_Hall 'P 1'
_cell_length_a 4.2673
_cell_length_b 4.2673
_cell_length_c 8.4611
_cell_angle_alpha 90.00
_cell_angle_beta 90.00
_cell_angle_gamma 120.00
loop_
_atom_site_label
_atom_site_type_symbol
_atom_site_fract_x
_atom_site_fract_y
_atom_site_fract_z
Pd1 Pd 0.3333 0.6667 0.5834
Pd2 Pd 0.3333 0.6667 0.9166
Pd3 Pd 0.6667 0.3333 0.4166
Pd4 Pd 0.6667 0.3333 0.0834
Al1 Al 0.0000 0.0000 0.5000
Al2 Al 0.0000 0.0000 0.0000
Mg1 Mg 0.3333 0.6667 0.2500
Mg2 Mg 0.6667 0.3333 0.7500



Record 4
# MgAlPd2 GGA-PBE optimized geometry
# ρ: 7.28 Mg/m³
# total DFT energy (no corrections): -75.89 eV/cell
data_MgAlPd2
_chemical_formula_sum 'Mg4 Al4 Pd8'
_space_group_name_H-M_alt 'P 1'
_space_group_IT_number 1
_space_group_name_Hall 'P 1'
_cell_length_a 6.2331
_cell_length_b 6.2622
_cell_length_c 6.1748
_cell_angle_alpha 90.00
_cell_angle_beta 90.00
_cell_angle_gamma 90.00
loop_
_atom_site_label
_atom_site_type_symbol
_atom_site_fract_x
_atom_site_fract_y
_atom_site_fract_z
Pd1 Pd 0.0000 0.5000 0.2500
Pd2 Pd 0.0000 0.5000 0.7500
Pd3 Pd 0.5000 0.5000 0.7500
Pd4 Pd 0.5000 0.0000 0.2500
Pd5 Pd 0.5000 0.0000 0.7500
Pd6 Pd 0.0000 0.0000 0.7500
Pd7 Pd 0.5000 0.5000 0.2500
Pd8 Pd 0.0000 0.0000 0.2500
Mg1 Mg 0.7500 0.2500 0.5000
Mg2 Mg 0.7500 0.2500 0.0000
Mg3 Mg 0.2500 0.7500 0.5000
Mg4 Mg 0.2500 0.7500 0.0000
Al1 Al 0.2500 0.2500 0.5000
Al2 Al 0.2500 0.2500 0.0000
Al3 Al 0.7500 0.7500 0.5000
Al4 Al 0.7500 0.7500 0.0000



Record 5
# MgAlPdPt GGA-PBE optimized geometry
# spin magnetization: 0.00 μB per formula unit
# ρ: 9.68 Mg/m³
# total DFT energy (no corrections): -20.16 eV/cell
data_MgAlPdPt
_chemical_formula_sum 'Mg1 Al1 Pd1 Pt1'
_space_group_name_H-M_alt 'P 1'
_space_group_IT_number 1
_space_group_name_Hall 'P 1'
_cell_length_a 4.4064
_cell_length_b 4.4064
_cell_length_c 4.4064
_cell_angle_alpha 60.00
_cell_angle_beta 60.00
_cell_angle_gamma 60.00
loop_
_atom_site_label
_atom_site_type_symbol
_atom_site_fract_x
_atom_site_fract_y
_atom_site_fract_z
Al1 Al 0.7500 0.7500 0.7500
Pd1 Pd 0.0000 0.0000 0.0000
Mg1 Mg 0.2500 0.2500 0.2500
Pt1 Pt 0.5000 0.5000 0.5000



Record 6
# Mg2Zr3AlPdPt2 GGA-PBE optimized geometry
# spin magnetization: 0.01 μB per formula unit
# ρ: 8.32 Mg/m³
# total DFT energy (no corrections): -56.70 eV/cell
data_Mg2Zr3AlPdPt2
_chemical_formula_sum 'Mg2 Zr3 Al1 Pd1 Pt2'
_space_group_name_H-M_alt 'P 1'
_space_group_IT_number 1
_space_group_name_Hall 'P 1'
_cell_length_a 3.6129
_cell_length_b 7.3460
_cell_length_c 7.3460
_cell_angle_alpha 120.01
_cell_angle_beta 90.00
_cell_angle_gamma 90.00
loop_
_atom_site_label
_atom_site_type_symbol
_atom_site_fract_x
_atom_site_fract_y
_atom_site_fract_z
Pt1 Pt 0.0000 0.6615 0.3313
Pt2 Pt 0.0000 0.3313 0.6615
Mg1 Mg 0.0000 0.9966 0.7447
Mg2 Mg 0.0000 0.7447 0.9966
Zr1 Zr 0.5000 0.0013 0.4074
Zr2 Zr 0.5000 0.4074 0.0013
Zr3 Zr 0.5000 0.5812 0.5812
Pd1 Pd 0.5000 0.0176 0.0176
Al1 Al 0.0000 0.2585 0.2585



Record 7
# MgSc2AlPd4 GGA-PBE optimized geometry
# spin magnetization: 0.00 μB per formula unit
# ρ: 7.11 Mg/m³
# total DFT energy (no corrections): -45.80 eV/cell
data_MgSc2AlPd4
_chemical_formula_sum 'Mg1 Sc2 Al1 Pd4'
_space_group_name_H-M_alt 'P 1'
_space_group_IT_number 1
_space_group_name_Hall 'P 1'
_cell_length_a 4.5362
_cell_length_b 4.5362
_cell_length_c 6.4378
_cell_angle_alpha 90.00
_cell_angle_beta 90.00
_cell_angle_gamma 90.00
loop_
_atom_site_label
_atom_site_type_symbol
_atom_site_fract_x
_atom_site_fract_y
_atom_site_fract_z
Sc1 Sc 0.0000 0.0000 0.0000
Sc2 Sc 0.5000 0.5000 0.5000
Pd1 Pd 0.0000 0.5000 0.7425
Pd2 Pd 0.5000 0.0000 0.7425
Pd3 Pd 0.5000 0.0000 0.2575
Pd4 Pd 0.0000 0.5000 0.2575
Al1 Al 0.0000 0.0000 0.5000
Mg1 Mg 0.5000 0.5000 0.0000



Record 8
# Mg4ScAlPd2 GGA-PBE optimized geometry
# spin magnetization: 0.02 μB per formula unit
# ρ: 2.59 Mg/m³
# total DFT energy (no corrections): -24.95 eV/cell
data_Mg4ScAlPd2
_chemical_formula_sum 'Mg4 Sc1 Al1 Pd2'
_space_group_name_H-M_alt 'P 1'
_space_group_IT_number 1
_space_group_name_Hall 'P 1'
_cell_length_a 6.1756
_cell_length_b 8.4848
_cell_length_c 8.4848
_cell_angle_alpha 33.46
_cell_angle_beta 90.00
_cell_angle_gamma 90.00
loop_
_atom_site_label
_atom_site_type_symbol
_atom_site_fract_x
_atom_site_fract_y
_atom_site_fract_z
Mg1 Mg 0.7439 0.8000 0.8000
Mg2 Mg 0.2561 0.8000 0.8000
Mg3 Mg 0.7414 0.2004 0.2004
Mg4 Mg 0.2586 0.2004 0.2004
Pd1 Pd 0.0000 0.0759 0.0759
Pd2 Pd 0.0000 0.9194 0.9194
Al1 Al 0.0000 0.3920 0.3920
Sc1 Sc 0.0000 0.6118 0.6118



Record 9
# Sm3Mg3AlPd2 GGA-PBE optimized geometry
# spin magnetization: 0.00 μB per formula unit
# ρ: 6.09 Mg/m³
# total DFT energy (no corrections): -37.42 eV/cell
data_Sm3Mg3AlPd2
_chemical_formula_sum 'Sm3 Mg3 Al1 Pd2'
_space_group_name_H-M_alt 'P 1'
_space_group_IT_number 1
_space_group_name_Hall 'P 1'
_cell_length_a 7.5589
_cell_length_b 7.5589
_cell_length_c 4.2076
_cell_angle_alpha 90.00
_cell_angle_beta 90.00
_cell_angle_gamma 120.00
loop_
_atom_site_label
_atom_site_type_symbol
_atom_site_fract_x
_atom_site_fract_y
_atom_site_fract_z
Sm1 Sm 0.0000 0.4194 0.0000
Sm2 Sm 0.4194 0.0000 0.0000
Sm3 Sm 0.5806 0.5806 0.0000
Al1 Al 0.0000 0.0000 0.0000
Mg1 Mg 0.0000 0.7503 0.5000
Mg2 Mg 0.2497 0.2497 0.5000
Mg3 Mg 0.7503 0.0000 0.5000
Pd1 Pd 0.3333 0.6667 0.5000
Pd2 Pd 0.6667 0.3333 0.5000



Record 10
# SrMgAl4Pd2 GGA-PBE optimized geometry
# ρ: 4.63 Mg/m³
# total DFT energy (no corrections): -32.83 eV/cell
data_SrMgAl4Pd2
_chemical_formula_sum 'Sr1 Mg1 Al4 Pd2'
_space_group_name_H-M_alt 'P 1'
_space_group_IT_number 1
_space_group_name_Hall 'P 1'
_cell_length_a 7.3287
_cell_length_b 5.3904
_cell_length_c 5.3904
_cell_angle_alpha 46.80
_cell_angle_beta 90.00
_cell_angle_gamma 90.00
loop_
_atom_site_label
_atom_site_type_symbol
_atom_site_fract_x
_atom_site_fract_y
_atom_site_fract_z
Pd1 Pd 0.0000 0.7112 0.7112
Pd2 Pd 0.5000 0.2800 0.2800
Al1 Al 0.1862 0.1529 0.1529
Al2 Al 0.2909 0.8530 0.8530
Al3 Al 0.7091 0.8530 0.8530
Al4 Al 0.8138 0.1529 0.1529
Mg1 Mg 0.0000 0.4349 0.4349
Sr1 Sr 0.5000 0.5621 0.5621